! Cs4Rb2Te | Alexandria | PBE | relaxed; values from VASP
&SYSTEM
  ibrav = 0, nat = 7, ntyp = 3
/
ATOMIC_SPECIES
Cs 132.91 Cs.upf
Rb 85.47 Rb.upf
Te 127.60 Te.upf
ATOMIC_POSITIONS angstrom
Cs -0.099 6.998 -0.285
Cs 2.124 6.416 6.136
Cs 3.056 2.141 -1.273
Cs 5.278 1.559 5.148
Rb 4.252 6.082 2.183
Rb 0.928 2.475 2.680
Te 0.000 0.000 0.000
CELL_PARAMETERS angstrom
6.245 0.000 -2.161
-1.211 9.030 -3.498
0.145 -0.473 10.522
! **Mass density**: 2.36 g/cm3
! **Energy relative to the elements, uncorrected**: -0.3798 eV per atom
! **Energy above the most stable polymorph in this dataset**: 0 meV/atom
! **Crystal system**: monoclinic
! **SG**: C2/m, No. 12

---

! Cs2RbTe3 | Alexandria | PBE | relaxed; values from VASP
&SYSTEM
  ibrav = 0, nat = 12, ntyp = 3
/
ATOMIC_SPECIES
Cs 132.91 Cs.upf
Rb 85.47 Rb.upf
Te 127.60 Te.upf
ATOMIC_POSITIONS angstrom
Cs 1.591 1.334 6.178
Cs 1.575 4.631 0.779
Cs 4.644 7.917 -1.088
Cs 4.660 4.621 4.311
Rb 4.696 0.913 9.826
Rb 1.540 8.339 -4.736
Te 3.125 1.477 2.602
Te 0.000 1.478 2.603
Te 6.236 7.773 2.486
Te 4.482 4.418 -2.509
Te 3.110 7.775 2.488
Te 1.754 4.834 7.599
CELL_PARAMETERS angstrom
6.251 -0.002 0.001
-0.031 9.622 -5.465
0.015 -0.369 10.554
! **Mass density**: 3.92 g/cm3
! **Energy relative to the elements, uncorrected**: -0.8424 eV per atom
! **Crystal system**: monoclinic
! **SG**: C2/m, No. 12

---

! Cs3Rb4Te4 | Alexandria | PBE | relaxed; values from VASP
&SYSTEM
  ibrav = 0, nat = 11, ntyp = 3
/
ATOMIC_SPECIES
Cs 132.91 Cs.upf
Rb 85.47 Rb.upf
Te 127.60 Te.upf
ATOMIC_POSITIONS angstrom
Cs 7.203 -6.389 -1.000
Cs 1.886 -0.558 0.747
Cs 1.255 -1.755 -4.480
Rb 2.765 -4.508 -0.715
Rb 6.325 -2.438 0.462
Rb 3.794 -5.948 -4.391
Rb 5.295 -0.998 4.138
Te -0.597 -3.189 -0.875
Te 1.023 -5.454 -6.658
Te 5.114 -2.896 -2.953
Te 3.975 -4.050 2.699
CELL_PARAMETERS angstrom
-2.083 -5.133 1.427
2.509 -3.510 -8.961
8.663 1.696 7.280
! **Mass density**: 3.69 g/cm3
! **Energy relative to the elements, uncorrected**: -0.9320 eV per atom
! **Crystal system**: orthorhombic
! **SG**: Immm, No. 71

---

> Which formula does entry 3 have?

Cs3Rb4Te4

---

> Which of these has the highest mass density?

Cs2RbTe3

---

> mass density of number 3 (Cs3Rb4Te4)?

3.69 g/cm3